Record 1
This record from OQMD via LeMat-Bulk describes crystalline Re2N at its relaxed geometry. The functional is PBE.

The value obtained for the volume is 27.393 A^3/atom. For the energy relative to the lowest polymorph listed for this composition, the calculation gives 854 meV per atom. The crystal system is cubic.

The space group is Fd-3m (No. 227, origin choice 2) and the conventional cell measures 8.695, 8.695 and 8.695 Å, with angles of 90.00, 90.00 and 90.00 degrees. Symmetry generates all atoms from Re at (0.000, 0.000, 0.000) and N at (0.125, 0.125, 0.125).

Record 2
This record from OQMD via LeMat-Bulk describes crystalline Sm3Re2Sb3N12 at its relaxed geometry. The functional is PBE.

The value obtained for the volume is 13.599 A^3/atom. For the uncorrected energy, the calculation gives -7.72 eV per atom. The crystal system is cubic.

The space group is Ia-3d (No. 230) and the conventional cell measures 12.958, 12.958 and 12.958 Å, with angles of 90.00, 90.00 and 90.00 degrees. Symmetry generates all atoms from Sm at (0.000, 0.250, 0.125), Re at (0.000, 0.000, 0.000), Sb at (0.000, 0.250, 0.375) and N at (0.027, 0.055, 0.643).

Record 3
This record from OQMD via LeMat-Bulk describes crystalline Tb3Re2Sb3N12 at its relaxed geometry. The functional is PBE.

The value obtained for the volume is 13.301 A^3/atom. For the uncorrected energy, the calculation gives -7.72 eV per atom. The crystal system is cubic.

The space group is Ia-3d (No. 230) and the conventional cell measures 12.863, 12.863 and 12.863 Å, with angles of 90.00, 90.00 and 90.00 degrees. Symmetry generates all atoms from Tb at (0.000, 0.250, 0.125), Re at (0.000, 0.000, 0.000), Sb at (0.000, 0.250, 0.375) and N at (0.027, 0.056, 0.644).

Record 4
This record from OQMD via LeMat-Bulk describes crystalline Y3Re2Sb3N12 at its relaxed geometry. The functional is PBE.

The value obtained for the volume is 13.271 A^3/atom. For the uncorrected energy, the calculation gives -7.99 eV per atom. The crystal system is cubic.

The space group is Ia-3d (No. 230) and the conventional cell measures 12.853, 12.853 and 12.853 Å, with angles of 90.00, 90.00 and 90.00 degrees. Symmetry generates all atoms from Y at (0.000, 0.250, 0.125), Re at (0.000, 0.000, 0.000), Sb at (0.000, 0.250, 0.375) and N at (0.027, 0.056, 0.644).

Record 5
This record from OQMD via LeMat-Bulk describes crystalline Re2Se2N at its relaxed geometry. The functional is PBE.

The value obtained for the volume is 18.792 A^3/atom. For the uncorrected energy, the calculation gives -7.77 eV per atom. The crystal system is hexagonal.

The space group is P6_3/mmc (No. 194) and the conventional cell measures 3.4758, 3.4758 and 17.9607 Å, with angles of 90.00, 90.00 and 120.00 degrees. Symmetry generates all atoms from Re at (0.3333, 0.6667, 0.0506), Se at (0.3333, 0.6667, 0.6399) and N at (0.0000, 0.0000, 0.0000).

Record 6
This record from OQMD via LeMat-Bulk describes crystalline ReSeN at its relaxed geometry. The functional is PBE.

The value obtained for the volume is 15.077 A^3/atom. For the uncorrected energy, the calculation gives -6.62 eV per atom. The crystal system is hexagonal.

The space group is P-6m2 (No. 187) and the conventional cell measures 3.7140, 3.7140 and 11.3586 Å, with angles of 90.00, 90.00 and 120.00 degrees. Symmetry generates all atoms from Re at (0.0000, 0.0000, 0.0000), Re at (0.3333, 0.6667, 0.2240), Se at (0.0000, 0.0000, 0.3745), Se at (0.3333, 0.6667, 0.0000), N at (0.6667, 0.3333, 0.2228) and N at (0.6667, 0.3333, 0.5000).

Record 7
This record from OQMD via LeMat-Bulk describes crystalline Sm3Ta3Re2N12 at its relaxed geometry. The functional is PBE.

The value obtained for the volume is 13.409 A^3/atom. For the uncorrected energy, the calculation gives -9.50 eV per atom. The crystal system is cubic.

The space group is Ia-3d (No. 230) and the conventional cell measures 12.897, 12.897 and 12.897 Å, with angles of 90.00, 90.00 and 90.00 degrees. Symmetry generates all atoms from Sm at (0.000, 0.250, 0.125), Ta at (0.000, 0.250, 0.375), Re at (0.000, 0.000, 0.000) and N at (0.031, 0.051, 0.645).